No. 1
# TlHgCl3 | Alexandria | PBE | optimized geometry
data_TlHgCl3
_chemical_formula_sum 'Tl1 Hg1 Cl3'
_space_group_name_H-M_alt 'P m -3 m'
_space_group_IT_number 221
_space_group_name_Hall '-P 4 2 3'
_cell_length_a 5.324
_cell_length_b 5.324
_cell_length_c 5.324
_cell_angle_alpha 90.00
_cell_angle_beta 90.00
_cell_angle_gamma 90.00
loop_
_atom_site_label
_atom_site_type_symbol
_atom_site_fract_x
_atom_site_fract_y
_atom_site_fract_z
_atom_site_occupancy
Tl1 Tl 0.000 0.000 0.000 1
Hg1 Hg 0.500 0.500 0.500 1
Cl1 Cl 0.000 0.500 0.500 1
# ΔE_f (raw) = -0.704 eV/atom

No. 2
# In2Co2Te | Alexandria | PBE | optimized geometry
data_In2Co2Te
_chemical_formula_sum 'In4 Co4 Te2'
_space_group_name_H-M_alt 'P 4/m b m'
_space_group_IT_number 127
_space_group_name_Hall '-P 4 2ab'
_cell_length_a 7.497
_cell_length_b 7.497
_cell_length_c 3.175
_cell_angle_alpha 90.00
_cell_angle_beta 90.00
_cell_angle_gamma 90.00
loop_
_atom_site_label
_atom_site_type_symbol
_atom_site_fract_x
_atom_site_fract_y
_atom_site_fract_z
_atom_site_occupancy
In1 In 0.141 0.359 0.000 1
Co1 Co 0.158 0.658 0.500 1
Te1 Te 0.000 0.000 0.500 1
# ΔE_f (raw) = 0.240 eV/atom

No. 3
# Tb3YHo4S8 | Alexandria | PBE | optimized geometry
data_Tb3YHo4S8
_chemical_formula_sum 'Tb9 Y3 Ho12 S24'
_space_group_name_H-M_alt 'R -3 m'
_space_group_IT_number 166
_space_group_name_Hall '-R 3 2"'
_cell_length_a 7.8064
_cell_length_b 7.8064
_cell_length_c 19.1508
_cell_angle_alpha 90.00
_cell_angle_beta 90.00
_cell_angle_gamma 120.00
loop_
_atom_site_label
_atom_site_type_symbol
_atom_site_fract_x
_atom_site_fract_y
_atom_site_fract_z
_atom_site_occupancy
Tb1 Tb 0.0000 0.5000 0.0000 1
Y1 Y 0.0000 0.0000 0.0000 1
Ho1 Ho 0.0000 0.0000 0.5000 1
Ho2 Ho 0.0000 0.5000 0.5000 1
S1 S 0.0000 0.0000 0.2485 1
S2 S 0.9996 0.4998 0.2486 1
# ΔE_f (raw) = -1.986 eV/atom

No. 4
Here is a relaxed structure of Zn2CoRe from Alexandria. Energies are from PBE.

```
data_Zn2CoRe
_chemical_formula_sum 'Zn2 Co1 Re1'
_space_group_name_H-M_alt 'P 4 m m'
_space_group_IT_number 99
_cell_length_a 2.721
_cell_length_b 2.721
_cell_length_c 7.271
_cell_angle_alpha 90.00
_cell_angle_beta 90.00
_cell_angle_gamma 90.00
loop_
_space_group_symop_operation_xyz
'x,y,z'
'-y,x,z'
'-x,-y,z'
'y,-x,z'
'-x,y,z'
'y,x,z'
'x,-y,z'
'-y,-x,z'
loop_
_atom_site_label
_atom_site_type_symbol
_atom_site_fract_x
_atom_site_fract_y
_atom_site_fract_z
_atom_site_occupancy
Zn1 Zn 0.000 0.000 0.000 1
Zn2 Zn 0.500 0.500 0.273 1
Co1 Co 0.000 0.000 0.507 1
Re1 Re 0.500 0.500 0.727 1
```

No. 5
# TaSe | Alexandria | PBE | optimized geometry
data_TaSe
_chemical_formula_sum 'Ta6 Se6'
_space_group_name_H-M_alt 'C 1 m 1'
_space_group_IT_number 8
_cell_length_a 11.891
_cell_length_b 3.270
_cell_length_c 6.198
_cell_angle_alpha 90.00
_cell_angle_beta 108.21
_cell_angle_gamma 90.00
loop_
_space_group_symop_operation_xyz
'x,y,z'
'x,-y,z'
'x+1/2,y+1/2,z'
'x+1/2,-y+1/2,z'
loop_
_atom_site_label
_atom_site_type_symbol
_atom_site_fract_x
_atom_site_fract_y
_atom_site_fract_z
_atom_site_occupancy
Ta1 Ta 0.000 0.000 0.000 1
Ta2 Ta 0.101 0.000 0.576 1
Ta3 Ta 0.229 0.500 0.938 1
Se1 Se 0.160 0.500 0.283 1
Se2 Se 0.338 0.000 0.714 1
Se3 Se 0.404 0.000 0.241 1
# ΔE_f (raw) = -0.284 eV/atom

No. 6
# YAlW2Cl | Alexandria | PBE | optimized geometry
data_YAlW2Cl
_chemical_formula_sum 'Y1 Al1 W2 Cl1'
_space_group_name_H-M_alt 'P 4/m m m'
_space_group_IT_number 123
_space_group_name_Hall '-P 4 2'
_cell_length_a 4.753
_cell_length_b 4.753
_cell_length_c 5.064
_cell_angle_alpha 90.00
_cell_angle_beta 90.00
_cell_angle_gamma 90.00
loop_
_atom_site_label
_atom_site_type_symbol
_atom_site_fract_x
_atom_site_fract_y
_atom_site_fract_z
_atom_site_occupancy
Y1 Y 0.000 0.000 0.000 1
Al1 Al 0.500 0.500 0.500 1
W1 W 0.000 0.500 0.500 1
Cl1 Cl 0.500 0.500 0.000 1
# ΔE_f (raw) = 1.387 eV/atom

No. 7
# Hg2MoBr8 | Alexandria | PBE | optimized geometry
data_Hg2MoBr8
_chemical_formula_sum 'Hg4 Mo2 Br16'
_space_group_name_H-M_alt 'C 1 2/m 1'
_space_group_IT_number 12
_cell_length_a 12.357
_cell_length_b 7.284
_cell_length_c 10.414
_cell_angle_alpha 90.00
_cell_angle_beta 108.06
_cell_angle_gamma 90.00
loop_
_space_group_symop_operation_xyz
'x,y,z'
'-x,-y,-z'
'-x,y,-z'
'x,-y,z'
'x+1/2,y+1/2,z'
'-x+1/2,-y+1/2,-z'
'-x+1/2,y+1/2,-z'
'x+1/2,-y+1/2,z'
loop_
_atom_site_label
_atom_site_type_symbol
_atom_site_fract_x
_atom_site_fract_y
_atom_site_fract_z
_atom_site_occupancy
Hg1 Hg 0.176 0.000 0.072 1
Mo1 Mo 0.000 0.500 0.500 1
Br1 Br 0.038 0.000 0.201 1
Br2 Br 0.143 0.263 0.596 1
Br3 Br 0.167 0.500 0.027 1
# ΔE_f (raw) = -0.299 eV/atom

No. 8
# CrSeBr2 | Alexandria | PBE | optimized geometry
data_CrSeBr2
_chemical_formula_sum 'Cr1 Se1 Br2'
_space_group_name_H-M_alt 'P 4/m m m'
_space_group_IT_number 123
_space_group_name_Hall '-P 4 2'
_cell_length_a 5.021
_cell_length_b 5.021
_cell_length_c 3.642
_cell_angle_alpha 90.00
_cell_angle_beta 90.00
_cell_angle_gamma 90.00
loop_
_atom_site_label
_atom_site_type_symbol
_atom_site_fract_x
_atom_site_fract_y
_atom_site_fract_z
_atom_site_occupancy
Cr1 Cr 0.000 0.000 0.000 1
Se1 Se 0.500 0.500 0.000 1
Br1 Br 0.000 0.500 0.500 1
# ΔE_f (raw) = 0.502 eV/atom

No. 9
# NaSrGa2S | Alexandria | PBE | optimized geometry
data_NaSrGa2S
_chemical_formula_sum 'Na1 Sr1 Ga2 S1'
_space_group_name_H-M_alt 'P 4/m m m'
_space_group_IT_number 123
_space_group_name_Hall '-P 4 2'
_cell_length_a 5.571
_cell_length_b 5.571
_cell_length_c 5.442
_cell_angle_alpha 90.00
_cell_angle_beta 90.00
_cell_angle_gamma 90.00
loop_
_atom_site_label
_atom_site_type_symbol
_atom_site_fract_x
_atom_site_fract_y
_atom_site_fract_z
_atom_site_occupancy
Na1 Na 0.000 0.000 0.000 1
Sr1 Sr 0.500 0.500 0.000 1
Ga1 Ga 0.000 0.500 0.500 1
S1 S 0.500 0.500 0.500 1
# ΔE_f (raw) = -0.179 eV/atom

No. 10
Here is a relaxed structure of Ce2ErCd from Alexandria. Energies are from PBE.

```
data_Ce2ErCd
_chemical_formula_sum 'Ce6 Er3 Cd3'
_space_group_name_H-M_alt 'R -3 m'
_space_group_IT_number 166
_space_group_name_Hall '-R 3 2"'
_cell_length_a 3.2831
_cell_length_b 3.2831
_cell_length_c 37.2767
_cell_angle_alpha 90.00
_cell_angle_beta 90.00
_cell_angle_gamma 120.00
loop_
_atom_site_label
_atom_site_type_symbol
_atom_site_fract_x
_atom_site_fract_y
_atom_site_fract_z
_atom_site_occupancy
Ce1 Ce 0.0000 0.0000 0.0887 1
Er1 Er 0.0000 0.0000 0.5000 1
Cd1 Cd 0.0000 0.0000 0.0000 1
```

No. 11
# CdNiBr2 | Alexandria | PBE | optimized geometry
data_CdNiBr2
_chemical_formula_sum 'Cd2 Ni2 Br4'
_space_group_name_H-M_alt 'C 1 2/m 1'
_space_group_IT_number 12
_cell_length_a 7.167
_cell_length_b 7.677
_cell_length_c 5.219
_cell_angle_alpha 90.00
_cell_angle_beta 132.65
_cell_angle_gamma 90.00
loop_
_space_group_symop_operation_xyz
'x,y,z'
'-x,-y,-z'
'-x,y,-z'
'x,-y,z'
'x+1/2,y+1/2,z'
'-x+1/2,-y+1/2,-z'
'-x+1/2,y+1/2,-z'
'x+1/2,-y+1/2,z'
loop_
_atom_site_label
_atom_site_type_symbol
_atom_site_fract_x
_atom_site_fract_y
_atom_site_fract_z
_atom_site_occupancy
Cd1 Cd 0.000 0.000 0.000 1
Ni1 Ni 0.000 0.500 0.000 1
Br1 Br 0.250 0.250 0.500 1
# ΔE_f (raw) = 0.130 eV/atom

No. 12
# TeRu2Pb | Alexandria | PBE | optimized geometry
data_TeRu2Pb
_chemical_formula_sum 'Te2 Ru4 Pb2'
_space_group_name_H-M_alt 'I m m 2'
_space_group_IT_number 44
_cell_length_a 3.549
_cell_length_b 3.884
_cell_length_c 11.425
_cell_angle_alpha 90.00
_cell_angle_beta 90.00
_cell_angle_gamma 90.00
loop_
_space_group_symop_operation_xyz
'x,y,z'
'-x,-y,z'
'-x,y,z'
'x,-y,z'
'x+1/2,y+1/2,z+1/2'
'-x+1/2,-y+1/2,z+1/2'
'-x+1/2,y+1/2,z+1/2'
'x+1/2,-y+1/2,z+1/2'
loop_
_atom_site_label
_atom_site_type_symbol
_atom_site_fract_x
_atom_site_fract_y
_atom_site_fract_z
_atom_site_occupancy
Te1 Te 0.000 0.000 0.000 1
Ru1 Ru 0.000 0.000 0.437 1
Ru2 Ru 0.000 0.500 0.665 1
Pb1 Pb 0.000 0.500 0.252 1
# ΔE_f (raw) = 0.379 eV/atom

No. 13
Here is a relaxed structure of La5ZnCu2 from Alexandria. Energies are from PBE.

```
data_La5ZnCu2
_chemical_formula_sum 'La20 Zn4 Cu8'
_space_group_name_H-M_alt 'I 4/m c m'
_space_group_IT_number 140
_space_group_name_Hall '-I 4 2c'
_cell_length_a 8.356
_cell_length_b 8.356
_cell_length_c 12.760
_cell_angle_alpha 90.00
_cell_angle_beta 90.00
_cell_angle_gamma 90.00
loop_
_atom_site_label
_atom_site_type_symbol
_atom_site_fract_x
_atom_site_fract_y
_atom_site_fract_z
_atom_site_occupancy
La1 La 0.000 0.000 0.000 1
La2 La 0.160 0.340 0.147 1
Zn1 Zn 0.000 0.000 0.250 1
Cu1 Cu 0.123 0.377 0.500 1
```

No. 14
Here is a relaxed structure of PrRuC from Alexandria. Energies are from PBE.

```
data_PrRuC
_chemical_formula_sum 'Pr1 Ru1 C1'
_space_group_name_H-M_alt 'P 3 m 1'
_space_group_IT_number 156
_cell_length_a 3.4458
_cell_length_b 3.4458
_cell_length_c 4.9667
_cell_angle_alpha 90.00
_cell_angle_beta 90.00
_cell_angle_gamma 120.00
loop_
_space_group_symop_operation_xyz
'x,y,z'
'-y,x-y,z'
'-x+y,-x,z'
'-y,-x,z'
'-x+y,y,z'
'x,x-y,z'
loop_
_atom_site_label
_atom_site_type_symbol
_atom_site_fract_x
_atom_site_fract_y
_atom_site_fract_z
_atom_site_occupancy
Pr1 Pr 0.0000 0.0000 0.0000 1
Ru1 Ru 0.3333 0.6667 0.5248 1
C1 C 0.6667 0.3333 0.6126 1
```

No. 15
# Zr2PSe | Alexandria | PBE | optimized geometry
data_Zr2PSe
_chemical_formula_sum 'Zr4 P2 Se2'
_space_group_name_H-M_alt 'C 1 m 1'
_space_group_IT_number 8
_cell_length_a 9.798
_cell_length_b 3.387
_cell_length_c 4.577
_cell_angle_alpha 90.00
_cell_angle_beta 90.20
_cell_angle_gamma 90.00
loop_
_space_group_symop_operation_xyz
'x,y,z'
'x,-y,z'
'x+1/2,y+1/2,z'
'x+1/2,-y+1/2,z'
loop_
_atom_site_label
_atom_site_type_symbol
_atom_site_fract_x
_atom_site_fract_y
_atom_site_fract_z
_atom_site_occupancy
Zr1 Zr 0.000 0.000 0.000 1
Zr2 Zr 0.238 0.000 0.502 1
P1 P 0.018 0.500 0.500 1
Se1 Se 0.223 0.500 0.002 1
# ΔE_f (raw) = -1.068 eV/atom

No. 16
# TlNi2I | Alexandria | PBE | optimized geometry
data_TlNi2I
_chemical_formula_sum 'Tl4 Ni8 I4'
_space_group_name_H-M_alt 'I -4 2 d'
_space_group_IT_number 122
_space_group_name_Hall 'I -4 2bw'
_cell_length_a 5.096
_cell_length_b 5.096
_cell_length_c 14.521
_cell_angle_alpha 90.00
_cell_angle_beta 90.00
_cell_angle_gamma 90.00
loop_
_atom_site_label
_atom_site_type_symbol
_atom_site_fract_x
_atom_site_fract_y
_atom_site_fract_z
_atom_site_occupancy
Tl1 Tl 0.000 0.000 0.000 1
Ni1 Ni 0.197 0.250 0.625 1
I1 I 0.000 0.000 0.500 1
# ΔE_f (raw) = 0.440 eV/atom

No. 17
Here is a relaxed structure of Tb4Cd5Ag from Alexandria. Energies are from PBE.

```
data_Tb4Cd5Ag
_chemical_formula_sum 'Tb4 Cd5 Ag1'
_space_group_name_H-M_alt 'P 4/m m m'
_space_group_IT_number 123
_space_group_name_Hall '-P 4 2'
_cell_length_a 3.685
_cell_length_b 3.685
_cell_length_c 18.456
_cell_angle_alpha 90.00
_cell_angle_beta 90.00
_cell_angle_gamma 90.00
loop_
_atom_site_label
_atom_site_type_symbol
_atom_site_fract_x
_atom_site_fract_y
_atom_site_fract_z
_atom_site_occupancy
Tb1 Tb 0.000 0.000 0.105 1
Tb2 Tb 0.000 0.000 0.311 1
Cd1 Cd 0.500 0.500 0.000 1
Cd2 Cd 0.500 0.500 0.207 1
Cd3 Cd 0.500 0.500 0.416 1
Ag1 Ag 0.000 0.000 0.500 1
```

No. 18
Here is a relaxed structure of BeBP from Alexandria. Energies are from PBE.

```
data_BeBP
_chemical_formula_sum 'Be4 B4 P4'
_space_group_name_H-M_alt 'C 1 m 1'
_space_group_IT_number 8
_cell_length_a 6.719
_cell_length_b 3.439
_cell_length_c 6.618
_cell_angle_alpha 90.00
_cell_angle_beta 110.65
_cell_angle_gamma 90.00
loop_
_space_group_symop_operation_xyz
'x,y,z'
'x,-y,z'
'x+1/2,y+1/2,z'
'x+1/2,-y+1/2,z'
loop_
_atom_site_label
_atom_site_type_symbol
_atom_site_fract_x
_atom_site_fract_y
_atom_site_fract_z
_atom_site_occupancy
Be1 Be 0.000 0.000 0.000 1
Be2 Be 0.038 0.500 0.511 1
B1 B 0.301 0.251 0.135 1
P1 P 0.069 0.500 0.858 1
P2 P 0.320 0.500 0.419 1
```

No. 19
Here is a relaxed structure of Ta2AgRh from Alexandria. Energies are from PBE.

```
data_Ta2AgRh
_chemical_formula_sum 'Ta4 Ag2 Rh2'
_space_group_name_H-M_alt 'I -4 m 2'
_space_group_IT_number 119
_space_group_name_Hall 'I -4 -2'
_cell_length_a 3.979
_cell_length_b 3.979
_cell_length_c 8.544
_cell_angle_alpha 90.00
_cell_angle_beta 90.00
_cell_angle_gamma 90.00
loop_
_atom_site_label
_atom_site_type_symbol
_atom_site_fract_x
_atom_site_fract_y
_atom_site_fract_z
_atom_site_occupancy
Ta1 Ta 0.000 0.000 0.000 1
Ta2 Ta 0.000 0.500 0.250 1
Ag1 Ag 0.000 0.500 0.750 1
Rh1 Rh 0.000 0.000 0.500 1
```

No. 20
Here is a relaxed structure of LaPmYHo2 from Alexandria. Energies are from PBE.

```
data_LaPmYHo2
_chemical_formula_sum 'La4 Pm4 Y4 Ho8'
_space_group_name_H-M_alt 'C m c m'
_space_group_IT_number 63
_space_group_name_Hall '-C 2c 2'
_cell_length_a 8.427
_cell_length_b 11.598
_cell_length_c 7.245
_cell_angle_alpha 90.00
_cell_angle_beta 90.00
_cell_angle_gamma 90.00
loop_
_atom_site_label
_atom_site_type_symbol
_atom_site_fract_x
_atom_site_fract_y
_atom_site_fract_z
_atom_site_occupancy
La1 La 0.000 0.228 0.250 1
Pm1 Pm 0.000 0.491 0.250 1
Y1 Y 0.000 0.224 0.750 1
Ho1 Ho 0.188 0.000 0.000 1
```

no.,E_tot (eV/cell),total magnetic moment (μB per atom)
1,-11.728,0.00
2,-43.259,0.00
3,-310.400,0.00
4,-22.032,0.08
5,-95.432,0.00
6,-31.026,0.25
7,-56.223,0.18
8,-14.446,1.09
9,-14.077,0.00
10,-49.421,0.39
11,-19.046,0.14
12,-47.774,0.00
13,-140.775,0.00
14,-23.224,0.00
15,-60.528,0.00
16,-54.880,0.00
17,-28.583,0.02
18,-61.882,0.00
19,-66.708,0.00
20,-94.101,0.00